A relaxed LiZn4Sn4O8 crystal. Source: the Alexandria database, functional GGA-PBE.

Values from the calculation:
Crystal system: triclinic
E_form (uncorrected) in meV per atom: -1193
Size of the total moment in μB per cell: 0.0
Fermi-level density of states in states/eV/f.u.: 0.99
Electronic total energy in eV/atom: -4.8804

abc: 3.3945 8.4348 9.6200
angles: 84.82 80.41 80.53
Last column: nearest neighbours and their distance in Å.
Space group P1 (No. 1)
Unique sites:
Li: 0.0000 0.0000 0.0000  1 O 1.92
Zn: 0.0828 0.1972 0.5606  4 O 1.94-2.15
Zn: 0.3342 0.6091 0.7171  4 O 1.99-2.05
Zn: 0.5842 0.4510 0.3546  4 O 1.98-2.03
Zn: 0.8273 0.3562 0.9120  4 O 1.94-2.11
Sn: 0.1142 0.6732 0.0678  3 O 2.11-2.14
Sn: 0.3124 0.1228 0.2254  3 O 2.17-2.20
Sn: 0.6173 0.9951 0.7784  3 O 2.12-2.32
Sn: 0.8659 0.7873 0.4628  3 O 2.16-2.31
O: 0.1340 0.3166 0.3674  3 Zn 2.03, 1 Sn 2.17
O: 0.2581 0.5006 0.9097  3 Zn 1.99-2.11, 1 Sn 2.14
O: 0.4367 0.6093 0.5013  2 Zn 1.98-2.05
O: 0.6163 0.5601 0.1633  1 Zn 1.98, 2 Sn 2.11-2.12
O: 0.6247 0.0498 0.5590  2 Zn 2.04-2.15, 1 Sn 2.12
O: 0.7815 0.2530 0.7439  2 Zn 1.94
O: 0.7915 0.7455 0.6903  2 Zn 2.05, 2 Sn 2.16-2.29
O: 0.8451 0.2000 0.0905  1 Li 1.92, 1 Zn 2.07